[1]
The following is a PBE calculation of crystalline NaNdTm2 at its relaxed geometry, from the Alexandria database.

a b c (Å): 3.5773 3.5773 10.3726
angles (deg): 90.00 90.00 90.00
With the nearest neighbours (Å) after each atom.
Atoms (fractional coordinates):
Na1 0.0000 0.0000 0.0000  4 Na 3.58, 8 Tm 3.76
Nd1 0.0000 0.0000 0.5000  8 Tm 3.49, 4 Nd 3.58
Tm1 0.5000 0.5000 0.2678  4 Nd 3.49, 4 Tm 3.58, 4 Na 3.76
Tm2 0.5000 0.5000 0.7322  4 Nd 3.49, 4 Tm 3.58, 4 Na 3.76

Output
As for the energy above the most stable polymorph in this dataset: 0 meV/atom. The value obtained for the spin magnetization is 0.00 Bohr magnetons per cell. The calculation puts the formation enthalpy at 0 K at 16.1 kJ per mole of atoms. The total energy is -3.59 eV/atom. As for the space group: P4/mmm (123).

=====

[2]
The following is a PBE calculation of crystalline NaNd2Tm at its relaxed geometry, from the Alexandria database.

a b c (Å): 3.5332 3.5332 10.9436
angles (deg): 90.00 90.00 90.00
With the nearest neighbours (Å) after each atom.
Atoms (fractional coordinates):
Na1 0.0000 0.0000 0.0000  4 Na 3.53, 8 Nd 3.85
Nd1 0.5000 0.5000 0.2681  4 Nd 3.53, 4 Tm 3.56, 4 Na 3.85
Nd2 0.5000 0.5000 0.7319  4 Nd 3.53, 4 Tm 3.56, 4 Na 3.85
Tm1 0.0000 0.0000 0.5000  4 Tm 3.53, 8 Nd 3.56

Output
As for the energy above the most stable polymorph in this dataset: 0 meV/atom. The value obtained for the spin magnetization is 0.00 Bohr magnetons per cell. The calculation puts the formation enthalpy at 0 K at 9.7 kJ per mole of atoms. The total energy is -3.73 eV/atom. As for the space group: P4/mmm (123).

=====

[3]
The following is a PBE calculation of crystalline NaNdTm at its relaxed geometry, from the Alexandria database.

a b c (Å): 4.1371 4.1371 11.9638
angles (deg): 90.00 90.00 90.00
With the nearest neighbours (Å) after each atom.
Atoms (fractional coordinates):
Na1 0.2500 0.7500 0.0000  4 Na 2.93
Na2 0.7500 0.2500 0.0000  4 Na 2.93
Nd1 0.2500 0.2500 0.2628  5 Tm 3.55-3.67, 4 Na 3.76
Nd2 0.7500 0.7500 0.7372  5 Tm 3.55-3.67, 4 Na 3.76
Tm1 0.2500 0.2500 0.5694  4 Tm 3.36, 5 Nd 3.55-3.67
Tm2 0.7500 0.7500 0.4306  4 Tm 3.36, 5 Nd 3.55-3.67

Output
As for the energy above the most stable polymorph in this dataset: 115 meV/atom. The value obtained for the spin magnetization is 0.00 Bohr magnetons per cell. The calculation puts the formation enthalpy at 0 K at 24.0 kJ per mole of atoms. The total energy is -3.27 eV/atom. As for the space group: P4/nmm (129).